[1]
The following is a DFT calculation (PBE-GGA) of KAsSe2 after structural relaxation.

a = 3.130 Å, b = 3.970 Å, c = 8.150 Å
α = 90.00°, β = 90.00°, γ = 90.00°
Space group Pmmm (No. 47)
Unique sites:
K 0.000 0.000 0.000 x1
As 0.500 0.000 0.500 x1
Se 0.500 0.500 0.273 x2

ρ (g/cm3): 4.5
Energy (eV/cell): -14.17

---

[2]
The following is a DFT calculation (PBE-GGA) of K3AsSe4 after structural relaxation.

a = 9.517 Å, b = 11.084 Å, c = 10.169 Å
α = 90.00°, β = 90.00°, γ = 90.00°
Space group Pnma (No. 62)
Unique sites:
K 0.075 0.046 0.194 x8
K 0.144 0.750 0.421 x4
As 0.228 0.750 0.977 x4
Se 0.016 0.750 0.101 x4
Se 0.141 0.073 0.525 x8
Se 0.170 0.750 0.752 x4

ρ (g/cm3): 3.1
Energy (eV/cell): -114.00